Entry 1:
An optimized crystal structure of NdMgZnAg. Source: the Alexandria database, functional PBE-GGA.

Cell lengths 4.9992, 4.9992, 4.9992 Å; angles 60.00, 60.00, 60.00 degrees
Last column: nearest neighbours and their distance in Å.
Positions (direct):
Nd 0.5000 0.5000 0.5000  4 Zn 3.06, 4 Ag 3.06
Zn 0.7500 0.7500 0.7500  4 Mg 3.06, 4 Nd 3.06
Ag 0.2500 0.2500 0.2500  4 Mg 3.06, 4 Nd 3.06
Mg 0.0000 0.0000 0.0000  4 Zn 3.06, 4 Ag 3.06

Energy of formation from the pure elements = -1.243 eV per formula unit
Energy = -11.7 eV/cell
Space group = F-43m
V = 22.09 Å³ per atom



Entry 2:
An optimized crystal structure of Hf2ZnAgBi. Source: the Alexandria database, functional PBE-GGA.

Cell lengths 4.9666, 5.2211, 4.9666 Å; angles 90.00, 90.00, 90.00 degrees
Last column: nearest neighbours and their distance in Å.
Positions (direct):
Bi 0.0000 0.5000 0.0000  2 Zn 2.61
Ag 0.5000 0.5000 0.5000  4 Bi 3.51, 8 Hf 3.60
Zn 0.0000 0.0000 0.0000  4 Hf 2.48, 2 Bi 2.61
Hf 0.5000 0.0000 0.0000  2 Zn 2.48
Hf 0.0000 0.0000 0.5000  2 Zn 2.48

Energy of formation from the pure elements = 4.127 eV per formula unit
Energy = -23.8 eV/cell
Space group = P4/mmm
V = 25.76 Å³ per atom



Entry 3:
An optimized crystal structure of Cs5AsSe4Br2. Source: the Alexandria database, functional PBE-GGA.

Cell lengths 8.7264, 7.4209, 10.8212 Å; angles 90.00, 90.00, 126.01 degrees
Last column: nearest neighbours and their distance in Å.
Positions (direct):
Br 0.4150 0.4831 0.5000  6 Cs 3.65-3.77
Cs 0.7282 0.6114 0.2350  3 Se 3.54-3.88, 2 Br 3.65-3.68
Se 0.5474 0.0000 0.8224  1 As 2.36
As 0.3896 0.0000 0.0000  4 Se 2.35-2.36
Se 0.0713 0.6864 0.0000  1 As 2.35
Cs 0.1168 0.3886 0.2350  3 Se 3.54-3.88, 2 Br 3.65-3.68
Cs 0.4281 0.0000 0.5000  2 Se 3.64, 4 Br 3.65-3.77
Se 0.3849 0.3136 0.0000  1 As 2.35
Cs 0.1168 0.3886 0.7650  3 Se 3.54-3.88, 2 Br 3.65-3.68
Br 0.9320 0.5169 0.5000  6 Cs 3.65-3.77
Cs 0.7282 0.6114 0.7650  3 Se 3.54-3.88, 2 Br 3.65-3.68
Se 0.5474 0.0000 0.1776  1 As 2.36

Energy = -39.7 eV/cell
Space group = Amm2
V = 47.24 Å³ per atom



Entry 4:
An optimized crystal structure of HgAs2Pb. Source: the Alexandria database, functional PBE-GGA.

Cell lengths 9.3091, 9.3091, 9.3091 Å; angles 22.59, 22.59, 22.59 degrees
Last column: nearest neighbours and their distance in Å.
Positions (direct):
As 0.9818 0.9818 0.9818  3 As 2.54
Hg 0.5081 0.5081 0.5081  3 As 3.19, 3 Pb 3.32
As 0.2629 0.2629 0.2629  3 As 2.54
Pb 0.7471 0.7471 0.7471  3 Hg 3.32, 3 As 3.41, 6 Pb 3.65

Energy of formation from the pure elements = 0.204 eV per formula unit
Energy = -13.1 eV/cell
Space group = R3m
V = 26.11 Å³ per atom
Relative energy among the computed polymorphs = 0.000 eV per atom



Question: Among the records above, which one has the highest V?
Answer: Cs5AsSe4Br2